Compound: CdI2Cl
Source: Alexandria via LeMat-Bulk
Functional: PBE
Structure: optimized geometry

Values from the calculation:
Formation energy without anion corrections (eV per atom): -0.189
Energy relative to the lowest polymorph listed for this composition (kJ/mol of formula units): 0.0
SG: I-42d (122)
M_tot (μB per formula unit): 1.00
Crystal system: tetragonal

a b c (Å): 8.119 8.119 7.465
angles (deg): 57.06 57.06 90.00
Last column: magnetic moment on the atom in μB.
Atoms (fractional coordinates):
Cl 0.250 0.750 0.500  0.43
I 0.675 0.125 0.250  0.16
Cd 0.000 0.000 0.000  0.00
I 0.875 0.925 0.750  0.14
I 0.375 0.325 0.750  0.15
Cl 0.500 0.500 0.000  0.41
I 0.075 0.625 0.250  0.15
Cd 0.750 0.250 0.500  0.00

=====

Compound: MnRu2Br
Source: Alexandria via LeMat-Bulk
Functional: PBE
Structure: optimized geometry

Values from the calculation:
Formation energy without anion corrections (eV per atom): 0.873
Energy relative to the lowest polymorph listed for this composition (kJ/mol of formula units): 177.6
SG: I-4m2 (119)
M_tot (μB per formula unit): 2.75
Crystal system: tetragonal

a b c (Å): 4.879 4.879 4.879
angles (deg): 132.80 132.80 68.96
Last column: magnetic moment on the atom in μB.
Atoms (fractional coordinates):
Mn 0.750 0.250 0.500  3.54
Ru 0.000 0.000 0.000  -0.46
Ru 0.250 0.750 0.500  -0.51
Br 0.500 0.500 0.000  0.02